Record 1
## Sc2TiCrF (SCAN)

Data for Sc2TiCrF at its PBEsol-relaxed geometry.

Lattice parameters (Å, degrees): 4.1170 5.0412 5.0412 90.00 90.00 90.00
Closest atoms and distances in Å follow each position.
Element x y z (fractional)
F1 0.5000 0.5000 0.5000  8 Sc 3.25, 4 Ti 3.56
Sc1 0.0000 0.5000 0.0000  2 Cr 2.52
Sc2 0.0000 0.0000 0.5000  2 Cr 2.52
Ti1 0.5000 0.0000 0.0000  2 Cr 2.06
Cr1 0.0000 0.0000 0.0000  2 Ti 2.06

=====

Record 2
## ZnCrSi2F (SCAN)

Data for ZnCrSi2F at its PBEsol-relaxed geometry.

Lattice parameters (Å, degrees): 4.2199 4.1925 4.1925 90.00 90.00 90.00
Closest atoms and distances in Å follow each position.
Element x y z (fractional)
Cr1 0.5000 0.5000 0.5000  4 Zn 2.96, 8 Si 2.97
Si1 0.0000 0.5000 0.0000  2 F 2.10
Si2 0.0000 0.0000 0.5000  2 F 2.10
Zn1 0.5000 0.0000 0.0000  2 F 2.11
F1 0.0000 0.0000 0.0000  4 Si 2.10, 2 Zn 2.11

=====

Record 3
## SrCrF2 (SCAN)

Data for SrCrF2 at its PBEsol-relaxed geometry.

Output
Energy relative to the lowest polymorph listed for this composition   0 meV/atom

Lattice parameters (Å, degrees): 4.0811 4.0811 5.9122 69.81 69.81 60.00
Closest atoms and distances in Å follow each position.
Element x y z (fractional)
F1 0.8791 0.8791 0.3627  1 Cr 1.97
F2 0.1209 0.1209 0.6373  1 Cr 1.97
Sr1 0.5000 0.5000 0.5000  6 F 2.47
Cr1 0.0000 0.0000 0.0000  2 F 1.97

=====

Number 1: raw formation energy 4.2 kcal/mol of atoms. Number 2: raw formation energy 7.3 kcal/mol of atoms. Number 3: raw formation energy -57.8 kcal/mol of atoms.